1.
A plane-wave DFT calculation with PBE-GGA was carried out for crystalline NaP2W at its relaxed geometry.

Lattice parameters (Å, degrees): 6.2277 6.2277 7.0683 63.86 63.86 90.00
With the nearest neighbours (Å) after each atom.
Sites, in units of the cell vectors:
P1 0.7181 0.1250 0.2500  2 W 2.30
P2 0.0319 0.6250 0.2500  2 W 2.30
P3 0.3750 0.2819 0.7500  2 W 2.30
P4 0.8750 0.9681 0.7500  2 W 2.30
W1 0.0000 0.0000 0.0000  4 P 2.30
W2 0.7500 0.2500 0.5000  4 P 2.30
Na1 0.5000 0.5000 0.0000  4 P 2.98
Na2 0.2500 0.7500 0.5000  4 P 2.98

Values from the calculation:
SG: I-42d, No. 122
Energy relative to the elements (meV/atom): 74
Final energy (eV per formula unit): -24.8
Energy above the most stable polymorph in this dataset (kJ/mol of formula units): 132
Crystal system: tetragonal

=====

2.
A plane-wave DFT calculation with PBE-GGA was carried out for crystalline NaP2W at its relaxed geometry.

Lattice parameters (Å, degrees): 3.0913 3.0913 7.0157 90.00 90.00 90.00
With the nearest neighbours (Å) after each atom.
Sites, in units of the cell vectors:
P1 0.0000 0.0000 0.8051  4 W 2.58, 1 P 2.73
P2 0.0000 0.0000 0.1949  4 W 2.58, 1 P 2.73
W1 0.5000 0.5000 0.0000  8 P 2.58
Na1 0.5000 0.5000 0.5000  8 P 3.06, 4 Na 3.09

Values from the calculation:
SG: P4/mmm, No. 123
Energy relative to the elements (meV/atom): -232
Final energy (eV per formula unit): -26.0
Energy above the most stable polymorph in this dataset (kJ/mol of formula units): 14
Crystal system: tetragonal

=====

| no. | size of the total moment (μB/f.u.) |
| --- | --- |
| 1 | 0.0 |
| 2 | 0.0 |